(1)
A plane-wave DFT calculation with GGA-PBE was carried out for an optimized crystal structure of BiPb3Au8.

Calculated values
volume	267	Å³/f.u.
final energy	-3.51	eV per atom
formation energy	-0.0733	eV per atom

a = 5.738 Å, b = 5.738 Å, c = 9.927 Å
α = 73.20°, β = 73.20°, γ = 60.00°
Positions (direct):
Bi  0.874  0.874  0.380
Pb  0.376  0.376  0.872
Pb  0.998  0.998  0.006
Pb  0.502  0.502  0.494
Au  0.938  0.438  0.187
Au  0.437  0.937  0.688
Au  0.438  0.438  0.187
Au  0.937  0.937  0.688
Au  0.187  0.187  0.438
Au  0.688  0.688  0.937
Au  0.438  0.938  0.187
Au  0.937  0.437  0.688

---

(2)
A plane-wave DFT calculation with GGA-PBE was carried out for an optimized crystal structure of ReAs2Cl.

Calculated values
volume	69	Å³/f.u.
final energy	-5.06	eV per atom
formation energy without anion corrections	839	meV/atom

a = 4.612 Å, b = 4.612 Å, c = 4.612 Å
α = 60.00°, β = 60.00°, γ = 60.00°
Positions (direct):
Re  0.500  0.500  0.500
As  0.250  0.250  0.250
As  0.750  0.750  0.750
Cl  0.000  0.000  0.000

---

(3)
A plane-wave DFT calculation with GGA-PBE was carried out for an optimized crystal structure of BaUBO5.

Calculated values
volume	117	Å³/f.u.
final energy	-8.39	eV per atom
formation energy without anion corrections	-2805	meV/atom

a = 5.809 Å, b = 5.809 Å, c = 7.835 Å
α = 103.67°, β = 103.67°, γ = 106.40°
Positions (direct):
Ba  0.346  0.654  0.250
Ba  0.654  0.346  0.750
U  0.000  0.000  0.500
U  0.000  0.000  0.000
B  0.690  0.310  0.250
B  0.310  0.690  0.750
O  0.073  0.927  0.250
O  0.927  0.073  0.750
O  0.864  0.289  0.130
O  0.136  0.711  0.870
O  0.711  0.136  0.370
O  0.289  0.864  0.630
O  0.772  0.582  0.376
O  0.228  0.418  0.624
O  0.418  0.228  0.124
O  0.582  0.772  0.876

---

(4)
A plane-wave DFT calculation with GGA-PBE was carried out for an optimized crystal structure of ZrCl.

Calculated values
volume	47	Å³/f.u.
final energy	-6.21	eV per atom
formation energy without anion corrections	-1015	meV/atom

a = 3.192 Å, b = 3.192 Å, c = 9.294 Å
α = 90.00°, β = 90.00°, γ = 90.00°
Positions (direct):
Cl  0.000  0.000  0.928
Cl  0.500  0.500  0.322
Zr  0.000  0.000  0.495
Zr  0.500  0.500  0.755

---

(5)
A plane-wave DFT calculation with GGA-PBE was carried out for an optimized crystal structure of MnRu3Pt.

Calculated values
volume	83	Å³/f.u.
final energy	-7.35	eV per atom
formation energy	1.2601	eV per atom

a = 4.358 Å, b = 4.358 Å, c = 4.358 Å
α = 90.00°, β = 90.00°, γ = 90.00°
Positions (direct):
Ru  0.000  0.500  0.000
Ru  0.000  0.000  0.500
Ru  0.500  0.000  0.000
Mn  0.000  0.000  0.000
Pt  0.500  0.500  0.500

---

(6)
A plane-wave DFT calculation with GGA-PBE was carried out for an optimized crystal structure of Ac2SbSe.

Calculated values
volume	127	Å³/f.u.
final energy	-5.28	eV per atom
formation energy without anion corrections	-1327	meV/atom

a = 5.635 Å, b = 5.635 Å, c = 5.635 Å
α = 60.00°, β = 60.00°, γ = 60.00°
Positions (direct):
Sb  0.000  0.000  0.000
Ac  0.250  0.250  0.250
Ac  0.750  0.750  0.750
Se  0.500  0.500  0.500